1.
## HfTlIn2Br6 (GGA-PBE)

Data for HfTlIn2Br6 after structural relaxation.

Lattice parameters (Å, degrees): 11.497 11.497 11.497 90.00 90.00 90.00
Space group Fm-3m (No. 225)
One atom of each set of equivalent atoms:
Hf 0.000 0.000 0.000 x4
Tl 0.000 0.000 0.500 x4
In 0.250 0.250 0.250 x8
Br 0.000 0.000 0.228 x24

electronic total energy = -3.60 eV per atom

2.
## AcHoTm (GGA-PBE)

Data for AcHoTm after structural relaxation.

Lattice parameters (Å, degrees): 7.958 7.958 7.958 90.00 90.00 90.00
Space group F-43m (No. 216)
One atom of each set of equivalent atoms:
Ac 0.000 0.000 0.000 x4
Ho 0.250 0.250 0.750 x4
Tm 0.250 0.250 0.250 x4

ΔH_f (0 K) = 0.8567 eV/atom
electronic total energy = -3.53 eV per atom

3.
## ReS2 (GGA-PBE)

Data for ReS2 after structural relaxation.

Lattice parameters (Å, degrees): 2.908 2.908 12.057 90.00 90.00 90.00
Space group I4/mmm (No. 139)
One atom of each set of equivalent atoms:
Re 0.000 0.000 0.000 x2
S 0.000 0.000 0.379 x4

electronic total energy = -6.94 eV per atom

4.
## HfZr2 (GGA-PBE)

Data for HfZr2 after structural relaxation.

Lattice parameters (Å, degrees): 6.845 6.845 6.031 90.00 90.00 90.00
Space group I4/mcm (No. 140)
One atom of each set of equivalent atoms:
Hf 0.000 0.000 0.250 x4
Zr 0.158 0.342 0.000 x8

ΔH_f (0 K) = 0.3025 eV/atom
electronic total energy = -8.71 eV per atom

5.
## CsK3Pt (GGA-PBE)

Data for CsK3Pt after structural relaxation.

Lattice parameters (Å, degrees): 10.579 4.852 13.092 90.00 112.20 90.00
Space group P2_1/m (No. 11)
One atom of each set of equivalent atoms:
Cs 0.200 0.250 0.425 x2
K 0.194 0.750 0.074 x2
K 0.225 0.250 0.837 x2
K 0.486 0.750 0.777 x2
Pt 0.468 0.750 0.008 x2

electronic total energy = -2.07 eV per atom

6.
## ZnBiO2F (GGA-PBE)

Data for ZnBiO2F after structural relaxation.

Lattice parameters (Å, degrees): 3.819 3.819 4.762 90.00 90.00 90.00
Space group P4mm (No. 99)
One atom of each set of equivalent atoms:
Zn 0.000 0.000 0.000 x1
Bi 0.500 0.500 0.609 x1
O 0.000 0.500 0.858 x2
F 0.000 0.000 0.411 x1

electronic total energy = -5.03 eV per atom

7.
## LuCo2Sb (GGA-PBE)

Data for LuCo2Sb after structural relaxation.

Lattice parameters (Å, degrees): 6.485 6.485 6.485 90.00 90.00 90.00
Space group F-43m (No. 216)
One atom of each set of equivalent atoms:
Lu 0.000 0.000 0.000 x4
Co 0.000 0.000 0.500 x4
Co 0.250 0.250 0.250 x4
Sb 0.250 0.250 0.750 x4

electronic total energy = -5.60 eV per atom

8.
## CsPrAsO (GGA-PBE)

Data for CsPrAsO after structural relaxation.

Lattice parameters (Å, degrees): 6.212 6.212 5.543 90.00 90.00 90.00
Space group P4/nmm (No. 129, origin choice 2)
One atom of each set of equivalent atoms:
Cs 0.250 0.250 0.002 x2
Pr 0.250 0.750 0.500 x2
As 0.250 0.250 0.503 x2
O 0.250 0.750 0.000 x2

electronic total energy = -4.68 eV per atom

9.
## CsRb2ZnF6 (GGA-PBE)

Data for CsRb2ZnF6 after structural relaxation.

Lattice parameters (Å, degrees): 6.106 6.106 9.118 90.00 90.00 90.00
Space group I4/m (No. 87)
One atom of each set of equivalent atoms:
Cs 0.000 0.000 0.000 x2
Rb 0.000 0.500 0.250 x4
Zn 0.000 0.000 0.500 x2
F 0.000 0.000 0.284 x4
F 0.118 0.706 0.500 x8

electronic total energy = -3.82 eV per atom

10.
## ThNi3 (GGA-PBE)

Data for ThNi3 after structural relaxation.

Lattice parameters (Å, degrees): 6.336 6.336 6.336 90.00 90.00 90.00
Space group Fm-3m (No. 225)
One atom of each set of equivalent atoms:
Th 0.000 0.000 0.000 x4
Ni 0.000 0.000 0.500 x4
Ni 0.250 0.250 0.250 x8

ΔH_f (0 K) = -0.1695 eV/atom
electronic total energy = -6.20 eV per atom

11.
## DyYSeO2 (GGA-PBE)

Data for DyYSeO2 after structural relaxation.

Lattice parameters (Å, degrees): 3.8263 3.8263 6.7705 90.00 90.00 120.00
Space group P3m1 (No. 156)
One atom of each set of equivalent atoms:
Dy 0.0000 0.0000 0.0000 x1
Y 0.6667 0.3333 0.4204 x1
Se 0.3333 0.6667 0.7094 x1
O 0.0000 0.0000 0.3351 x1
O 0.6667 0.3333 0.0818 x1

electronic total energy = -8.00 eV per atom

12.
## NdNbNO (GGA-PBE)

Data for NdNbNO after structural relaxation.

Lattice parameters (Å, degrees): 4.904 4.904 4.620 90.00 90.00 90.00
Space group P4/nmm (No. 129, origin choice 2)
One atom of each set of equivalent atoms:
Nd 0.250 0.750 0.000 x2
Nb 0.250 0.250 0.499 x2
N 0.250 0.250 0.002 x2
O 0.250 0.750 0.500 x2

electronic total energy = -8.33 eV per atom

Number 1: volume 37.992 A^3/atom. Number 2: volume 41.997 A^3/atom. Number 3: volume 16.989 A^3/atom. Number 4: volume 23.547 A^3/atom. Number 5: volume 62.208 A^3/atom. Number 6: volume 13.891 A^3/atom. Number 7: volume 17.045 A^3/atom. Number 8: volume 26.741 A^3/atom. Number 9: volume 16.997 A^3/atom. Number 10: volume 15.895 A^3/atom. Number 11: volume 17.168 A^3/atom. Number 12: volume 13.888 A^3/atom.